DFT (PBE) results for a relaxed structure of SbTeRuI2.

```
SbTeRuI2
1.0
-5.212 2.154 1.898
-2.521 -5.316 -0.890
1.366 -1.575 5.537
Te Sb I Ru
1 1 2 1
Cartesian
0.000 0.000 0.000
0.683 -0.787 2.769
-2.606 1.077 0.949
-1.260 -2.658 -0.445
-3.184 -2.369 3.273
```

## Properties
The value obtained for the mass density is 4.79 g cm⁻³. As for the space group: P4/mmm, No. 123. The value obtained for the formation energy (no corrections) is 1.391 eV/atom. For the polymorph energy (0 for the lowest one), the calculation gives 0.936 eV per atom.